[1]
A relaxed structure of MgMnRh3. Source: the Alexandria database, functional PBE.

a b c (Å): 4.4586 4.4586 4.4586
angles (deg): 90.00 90.00 90.00
Positions (direct):
Mg 0.0000 0.0000 0.0000
Mn 0.5000 0.5000 0.5000
Rh 0.0000 0.5000 0.5000
Rh 0.5000 0.0000 0.5000
Rh 0.5000 0.5000 0.0000

Output
- Total magnetic moment: 0.00 μB per atom
- Space-group type: Pm-3m (221)
- Final energy: -6.006 eV/atom
- Calculated volume: 89 Å³ per cell

[2]
A relaxed structure of MgMn2Rh. Source: the Alexandria database, functional PBE.

a b c (Å): 5.1585 5.1585 5.1585
angles (deg): 144.14 129.86 63.17
Positions (direct):
Mg 0.0000 0.0000 0.0000
Mn 0.2649 0.7649 0.5000
Mn 0.5228 0.5228 0.0000
Rh 0.7528 0.2528 0.5000

Output
- Total magnetic moment: 1.91 μB per atom
- Space-group type: Imm2 (44)
- Final energy: -6.769 eV/atom
- Calculated volume: 61 Å³ per cell

[3]
A relaxed structure of MgMnRh. Source: the Alexandria database, functional PBE.

a b c (Å): 4.4957 2.9937 7.0837
angles (deg): 90.00 101.08 90.00
Positions (direct):
Mg 0.1447 0.2500 0.1842
Mg 0.8553 0.7500 0.8158
Mn 0.2604 0.7500 0.5377
Mn 0.7396 0.2500 0.4623
Rh 0.3625 0.2500 0.8357
Rh 0.6375 0.7500 0.1643

Output
- Total magnetic moment: 1.22 μB per atom
- Space-group type: P2_1/m (11)
- Final energy: -6.086 eV/atom
- Calculated volume: 94 Å³ per cell